## ReW2F (PBE+U)

Data for ReW2F after structural relaxation.

Cell lengths 6.451, 6.451, 5.458 Å; angles 53.78, 53.78, 90.00 degrees
Sites, in units of the cell vectors:
Re1 0.000 0.000 0.000
Re2 0.750 0.250 0.500
W1 0.583 0.125 0.250
W2 0.167 0.625 0.250
W3 0.375 0.417 0.750
W4 0.875 0.833 0.750
F1 0.500 0.500 0.000
F2 0.250 0.750 0.500

- Excess energy over the best structure of this formula in the dataset: 35 meV per atom
- Electronic total energy: -6.44 eV/atom